Computed, not measured: a relaxed HgTe2Ir crystal at the PBE level of DFT.

Output
E_form (uncorrected) in eV per atom: 0.348
Calculated total energy in eV per cell: -14.05
SG: R-3m (166)
N(E_F) in states/eV per atom: 0.87

Unit cell a=12.3108 b=12.3108 c=12.3108 alpha=14.62 beta=14.62 gamma=14.62
Each line ends with the local moment (μB).
Positions (direct):
Te 0.9296 0.9296 0.9296  0.02
Te 0.0704 0.0704 0.0704  0.02
Ir 0.0000 0.0000 0.0000  0.43
Hg 0.5000 0.5000 0.5000  0.00